Record 1
{"formula": "La4Pr3Pu", "functional": "PBE", "state": "optimized geometry", "lattice": [[3.4830, 0.0000, -0.8430], [-1.2178, 10.6600, -5.0316], [0.2746, -2.4164, 8.7519]], "species": ["Pr", "Pr", "Pr", "Pu", "La", "La", "La", "La"], "fractional_positions": [[0.0000, 0.5000, 0.0000], [0.7714, 0.7715, 0.5428], [0.2286, 0.2285, 0.4572], [0.5000, 0.0000, 0.0000], [0.6289, 0.3759, 0.2579], [0.3711, 0.6241, 0.7421], [0.3713, 0.1179, 0.7427], [0.6287, 0.8821, 0.2573]], "magmom_total_mub_per_cell": 6.6, "formation_energy_ev_per_atom": 0.129, "space_group": "No. 71"}

Record 2
{"formula": "LaPrPu2S4", "functional": "PBE", "state": "optimized geometry", "lattice": [[3.9738, 0.0000, 0.0000], [-0.0001, 9.8635, 0.6092], [0.0000, 4.4686, 5.2251]], "species": ["La", "Pr", "Pu", "Pu", "S", "S", "S", "S"], "fractional_positions": [[0.5000, 0.5000, 0.0000], [0.0000, 0.5000, 0.5000], [0.0000, 0.0000, 0.0000], [0.5000, 0.0000, 0.5000], [0.0000, 0.7637, 0.9042], [0.0000, 0.2363, 0.0958], [0.5000, 0.2376, 0.5973], [0.5000, 0.7624, 0.4027]], "magmom_total_mub_per_cell": 11.4, "space_group": "No. 10", "formation_energy_uncorrected_ev_per_atom": -1.75}

Record 3
{"formula": "La2Pr3PuS6", "functional": "PBE", "state": "optimized geometry", "lattice": [[-2.2240, 0.8359, -3.3258], [5.7651, -3.4717, -4.7278], [-4.3323, -7.2362, 3.5897]], "species": ["La", "La", "Pr", "Pr", "Pr", "Pu", "S", "S", "S", "S", "S", "S"], "fractional_positions": [[0.8354, 0.6693, 0.6707], [0.1646, 0.3307, 0.3293], [0.5000, 0.5000, 0.0000], [0.8328, 0.1641, 0.6656], [0.1672, 0.8359, 0.3344], [0.5000, 0.0000, 0.0000], [0.3366, 0.9191, 0.6732], [0.6668, 0.5849, 0.3337], [0.6634, 0.0809, 0.3268], [0.9984, 0.2407, 0.9968], [0.0016, 0.7593, 0.0032], [0.3332, 0.4151, 0.6663]], "magmom_total_mub_per_cell": 5.7, "space_group": "No. 12", "formation_energy_uncorrected_ev_per_atom": -2.04}

Record 4
{"formula": "La2PrPuSb4", "functional": "PBE", "state": "optimized geometry", "lattice": [[4.5680, 0.0000, 0.0000], [0.0000, 7.8962, 0.1693], [0.0000, -2.7928, 7.3881]], "species": ["La", "La", "Pr", "Pu", "Sb", "Sb", "Sb", "Sb"], "fractional_positions": [[0.5000, 0.0000, 0.5000], [0.0000, 0.5000, 0.5000], [0.5000, 0.5000, 0.0000], [0.0000, 0.0000, 0.0000], [0.5000, 0.2424, 0.2407], [0.5000, 0.7576, 0.7593], [0.0000, 0.2476, 0.7559], [0.0000, 0.7524, 0.2441]], "magmom_total_mub_per_cell": 5.0, "space_group": "No. 10", "formation_energy_uncorrected_ev_per_atom": -1.07}